1.
# GaNF3, relaxed, DFT PBE
# Distance to the lowest polymorph of the same formula (eV per atom): 0.0000
# Spin magnetization (μB per formula unit): 3.00
# Final energy (eV per atom): -4.40
data_GaNF3
_cell_length_a 3.837
_cell_length_b 7.071
_cell_length_c 7.972
_cell_angle_alpha 97.01
_cell_angle_beta 103.09
_cell_angle_gamma 57.13
_space_group_name_H-M_alt 'P 1'
_space_group_IT_number 1
loop_
_space_group_symop_operation_xyz
'x,y,z'
loop_
_atom_site_label
_atom_site_type_symbol
_atom_site_fract_x
_atom_site_fract_y
_atom_site_fract_z
F1 F 0.759 0.650 0.688
F2 F 0.434 0.400 0.527
F3 F 0.260 0.149 0.688
F4 F 0.108 0.150 0.367
F5 F 0.934 0.900 0.528
F6 F 0.609 0.650 0.367
N1 N 0.660 0.401 0.987
N2 N 0.709 0.901 0.068
Ga1 Ga 0.434 0.900 0.527
Ga2 Ga 0.934 0.400 0.527

=====

2.
# Ga2NF, relaxed, DFT PBE
# Distance to the lowest polymorph of the same formula (eV per atom): 0.0000
# Spin magnetization (μB per formula unit): 0.00
# Final energy (eV per atom): -4.53
data_Ga2NF
_cell_length_a 5.112
_cell_length_b 5.112
_cell_length_c 5.914
_cell_angle_alpha 64.39
_cell_angle_beta 64.39
_cell_angle_gamma 90.00
_space_group_name_H-M_alt 'P 1'
_space_group_IT_number 1
loop_
_space_group_symop_operation_xyz
'x,y,z'
loop_
_atom_site_label
_atom_site_type_symbol
_atom_site_fract_x
_atom_site_fract_y
_atom_site_fract_z
Ga1 Ga 0.375 0.419 0.750
Ga2 Ga 0.169 0.625 0.250
Ga3 Ga 0.875 0.831 0.750
Ga4 Ga 0.581 0.125 0.250
N1 N 0.500 0.500 0.000
N2 N 0.250 0.750 0.500
F1 F 0.000 0.000 0.000
F2 F 0.750 0.250 0.500

=====

3.
# GaNF3, relaxed, DFT PBE
# Distance to the lowest polymorph of the same formula (eV per atom): 0.9975
# Spin magnetization (μB per formula unit): 0.81
# Final energy (eV per atom): -3.40
data_GaNF3
_cell_length_a 3.922
_cell_length_b 3.922
_cell_length_c 3.922
_cell_angle_alpha 90.00
_cell_angle_beta 90.00
_cell_angle_gamma 90.00
_space_group_name_H-M_alt 'P 1'
_space_group_IT_number 1
loop_
_space_group_symop_operation_xyz
'x,y,z'
loop_
_atom_site_label
_atom_site_type_symbol
_atom_site_fract_x
_atom_site_fract_y
_atom_site_fract_z
Ga1 Ga 0.500 0.500 0.500
F1 F 0.000 0.000 0.500
F2 F 0.500 0.000 0.000
F3 F 0.000 0.500 0.000
N1 N 0.000 0.000 0.000

=====

4.
# GaNF3, relaxed, DFT PBE
# Distance to the lowest polymorph of the same formula (eV per atom): 0.0778
# Spin magnetization (μB per formula unit): 3.00
# Final energy (eV per atom): -4.32
data_GaNF3
_cell_length_a 3.888
_cell_length_b 3.888
_cell_length_c 3.888
_cell_angle_alpha 90.00
_cell_angle_beta 90.00
_cell_angle_gamma 90.00
_space_group_name_H-M_alt 'P 1'
_space_group_IT_number 1
loop_
_space_group_symop_operation_xyz
'x,y,z'
loop_
_atom_site_label
_atom_site_type_symbol
_atom_site_fract_x
_atom_site_fract_y
_atom_site_fract_z
F1 F 0.500 0.000 0.000
F2 F 0.000 0.000 0.500
F3 F 0.000 0.500 0.000
Ga1 Ga 0.000 0.000 0.000
N1 N 0.500 0.500 0.500

=====

5.
# Ga2NF, relaxed, DFT PBE
# Distance to the lowest polymorph of the same formula (eV per atom): 0.4114
# Spin magnetization (μB per formula unit): 0.00
# Final energy (eV per atom): -4.12
data_Ga2NF
_cell_length_a 4.097
_cell_length_b 4.097
_cell_length_c 4.097
_cell_angle_alpha 60.00
_cell_angle_beta 60.00
_cell_angle_gamma 60.00
_space_group_name_H-M_alt 'P 1'
_space_group_IT_number 1
loop_
_space_group_symop_operation_xyz
'x,y,z'
loop_
_atom_site_label
_atom_site_type_symbol
_atom_site_fract_x
_atom_site_fract_y
_atom_site_fract_z
Ga1 Ga 0.750 0.750 0.750
Ga2 Ga 0.250 0.250 0.250
F1 F 0.500 0.500 0.500
N1 N 0.000 0.000 0.000

=====

6.
# GaN3F, relaxed, DFT PBE
# Spin magnetization (μB per formula unit): 6.24
# Final energy (eV per atom): -4.00
data_GaN3F
_cell_length_a 3.939
_cell_length_b 3.939
_cell_length_c 3.939
_cell_angle_alpha 90.00
_cell_angle_beta 90.00
_cell_angle_gamma 90.00
_space_group_name_H-M_alt 'P 1'
_space_group_IT_number 1
loop_
_space_group_symop_operation_xyz
'x,y,z'
loop_
_atom_site_label
_atom_site_type_symbol
_atom_site_fract_x
_atom_site_fract_y
_atom_site_fract_z
N1 N 0.500 0.000 0.000
N2 N 0.000 0.000 0.500
N3 N 0.000 0.500 0.000
Ga1 Ga 0.000 0.000 0.000
F1 F 0.500 0.500 0.500